Y3HfRh, optimized geometry, DFT PBE-GGA; energy relative to the elements = 513 kJ/mol of formula units; E = -6.276 eV per atom; density of states at the Fermi level = 6.88 states/eV per cell; symmetry = Pm-3m, No. 221; energy above the lowest structure with this stoichiometry = 0.9531 eV per atom
1.0
5.359 0.000 0.000
0.000 5.359 0.000
0.000 0.000 5.359
Y Rh Hf
3 1 1
Direct
0.000 0.500 0.000
0.000 0.000 0.500
0.500 0.000 0.000
0.500 0.500 0.500
0.000 0.000 0.000

K2SrTeCl, optimized geometry, DFT PBE-GGA; E = -2.302 eV per atom; density of states at the Fermi level = 0.90 states/eV per cell; symmetry = P4/mmm, No. 123
1.0
-6.511 2.465 -1.863
-0.341 -3.742 -3.759
-3.055 -4.485 4.742
Sr K Te Cl
1 2 1 1
Direct
0.000 0.000 0.000
0.000 0.000 0.500
0.500 0.000 0.000
0.500 0.500 0.500
0.000 0.500 0.000

LaTi2I, optimized geometry, DFT PBE-GGA; E = -5.145 eV per atom; density of states at the Fermi level = 13.86 states/eV per cell; symmetry = I-42d, No. 122; energy above the lowest structure with this stoichiometry = 0.0238 eV per atom
1.0
8.342 0.000 0.000
0.000 8.342 0.000
4.171 4.171 3.046
I Ti La
2 4 2
Direct
0.500 0.500 0.000
0.250 0.750 0.500
0.564 0.125 0.250
0.186 0.625 0.250
0.375 0.436 0.750
0.875 0.814 0.750
0.000 0.000 0.000
0.750 0.250 0.500

Q: Look up the E of the second one.
A: -2.302 eV per atom

Q: Which of these has the lowest density of states at the Fermi level?
A: K2SrTeCl